No. 1
The following is a DFT calculation (PBE) of an optimized crystal structure of BaTbPb.

The structure in extended XYZ format:
```
3
Lattice="5.330 0.000 0.000 -2.665 4.616 0.000 0.000 0.000 4.847" Properties=species:S:1:pos:R:3 pbc="T T T"
Ba 0.000 0.000 0.000
Tb 2.665 1.539 2.425
Pb 0.000 3.077 2.419
```

Properties
The formation enthalpy at 0 K is -276 meV/atom. Its space group is P3m1. The volume comes out at 39.76 Å³/atom.

***

No. 2
The following is a DFT calculation (PBE) of an optimized crystal structure of BaRe2Br.

The structure in extended XYZ format:
```
4
Lattice="3.965 0.000 0.000 0.000 3.965 0.000 0.000 0.000 6.576" Properties=species:S:1:pos:R:3 pbc="T T T"
Ba 0.000 0.000 0.000
Re 0.000 1.983 3.288
Re 1.983 0.000 3.288
Br 1.983 1.983 0.000
```

Properties
As for the distance to the lowest polymorph of the same formula: 0.883 eV/atom. Its space group is P4/mmm. The volume comes out at 25.85 Å³/atom. The value obtained for the uncorrected formation energy is 1.154 eV per atom.

***

No. 3
The following is a DFT calculation (PBE) of an optimized crystal structure of LiPr3B2Pt9.

The structure in extended XYZ format:
```
15
Lattice="6.610 0.000 0.000 -3.305 5.724 0.000 0.000 0.000 7.016" Properties=species:S:1:pos:R:3 pbc="T T T"
Li 0.000 0.000 0.000
Pr 0.000 0.000 3.508
Pr 0.000 3.816 1.179
Pr 3.305 1.908 5.837
B 0.000 3.816 4.610
B 3.305 1.908 2.407
Pt -1.652 2.862 3.508
Pt 0.000 2.044 5.795
Pt -1.534 4.702 5.795
Pt 1.770 1.022 1.222
Pt 3.305 0.000 3.508
Pt 1.652 2.862 3.508
Pt 1.534 4.702 5.795
Pt 4.839 1.022 1.222
Pt 3.305 3.680 1.222
```

Properties
The formation enthalpy at 0 K is -684 meV/atom. Its space group is P-3m1. The volume comes out at 17.70 Å³/atom.

***

No. 4
The following is a DFT calculation (PBE) of an optimized crystal structure of KTlNi.

The structure in extended XYZ format:
```
3
Lattice="4.473 0.000 0.000 -2.237 3.874 0.000 0.000 0.000 5.255" Properties=species:S:1:pos:R:3 pbc="T T T"
K 0.000 0.000 0.000
Tl 0.000 2.583 2.627
Ni 2.237 1.291 2.606
```

Properties
The formation enthalpy at 0 K is 276 meV/atom. Its space group is P3m1. The volume comes out at 30.36 Å³/atom.

***

No. 5
The following is a DFT calculation (PBE) of an optimized crystal structure of SrLi2Ru.

The structure in extended XYZ format:
```
4
Lattice="3.204 0.000 0.000 0.000 4.426 0.000 -1.565 0.000 6.318" Properties=species:S:1:pos:R:3 pbc="T T T"
Sr 0.000 0.000 0.000
Li 0.054 0.000 3.536
Li 1.642 2.213 2.671
Ru 0.032 2.213 4.828
```

Properties
As for the distance to the lowest polymorph of the same formula: 0.040 eV/atom. The formation enthalpy at 0 K is 405 meV/atom. Its space group is Pm. The volume comes out at 22.40 Å³/atom.

***

No. 6
The following is a DFT calculation (PBE) of an optimized crystal structure of VZnCrRe.

The structure in extended XYZ format:
```
4
Lattice="0.000 3.015 3.015 3.015 0.000 3.015 3.015 3.015 0.000" Properties=species:S:1:pos:R:3 pbc="T T T"
V 0.000 0.000 0.000
Zn 1.507 1.507 1.507
Cr 3.015 3.015 3.015
Re 4.522 4.522 4.522
```

Properties
The formation enthalpy at 0 K is 87 meV/atom. Its space group is F-43m. The volume comes out at 13.70 Å³/atom.

***

No. 7
The following is a DFT calculation (PBE) of an optimized crystal structure of LuMgSnPd.

The structure in extended XYZ format:
```
4
Lattice="0.000 3.471 3.471 3.471 0.000 3.471 3.471 3.471 0.000" Properties=species:S:1:pos:R:3 pbc="T T T"
Lu 0.000 0.000 0.000
Mg 3.471 3.471 3.471
Sn 5.206 5.206 5.206
Pd 1.735 1.735 1.735
```

Properties
The formation enthalpy at 0 K is -598 meV/atom. Its space group is F-43m. The volume comes out at 20.90 Å³/atom.

***

No. 8
The following is a DFT calculation (PBE) of an optimized crystal structure of IrRuAu.

The structure in extended XYZ format:
```
3
Lattice="2.778 0.000 0.000 -1.389 2.405 0.000 0.000 0.000 6.937" Properties=species:S:1:pos:R:3 pbc="T T T"
Ir 0.000 0.000 0.000
Ru 1.389 0.802 2.088
Au 0.000 1.604 4.483
```

Properties
As for the distance to the lowest polymorph of the same formula: 0.011 eV/atom. The formation enthalpy at 0 K is 205 meV/atom. Its space group is P3m1. The volume comes out at 15.45 Å³/atom.

***

No. 9
The following is a DFT calculation (PBE) of an optimized crystal structure of Na3Sr6Mg.

The structure in extended XYZ format:
```
20
Lattice="6.360 0.000 0.000 0.000 10.968 0.000 -6.357 0.000 13.581" Properties=species:S:1:pos:R:3 pbc="T T T"
Na 0.000 0.000 0.000
Na -3.178 5.484 6.790
Na -3.196 1.817 10.273
Na -0.018 3.667 3.483
Na 0.021 7.301 10.098
Na 3.200 9.151 3.308
Sr -0.007 7.195 1.108
Sr -3.185 9.256 7.898
Sr 0.018 0.007 3.442
Sr -3.160 5.477 10.232
Sr -0.004 7.430 5.709
Sr -3.183 9.022 12.500
Sr 3.186 1.946 1.081
Sr 0.008 3.538 7.872
Sr 3.163 5.491 3.349
Sr -0.015 10.961 10.139
Sr 3.188 1.711 5.682
Sr 0.010 3.773 12.473
Mg 0.002 0.000 6.790
Mg 3.180 5.484 0.000
```

Properties
As for the distance to the lowest polymorph of the same formula: 0.053 eV/atom. The formation enthalpy at 0 K is 77 meV/atom. Its space group is P2_1/c. The volume comes out at 47.37 Å³/atom.

***

No. 10
The following is a DFT calculation (PBE) of an optimized crystal structure of PmPrPa2N4.

The structure in extended XYZ format:
```
8
Lattice="-2.539 2.539 4.989 2.539 -2.539 4.989 2.539 2.539 -4.989" Properties=species:S:1:pos:R:3 pbc="T T T"
Pm 0.000 0.000 0.000
Pr 0.000 2.539 2.495
Pa 2.539 0.000 2.495
Pa 0.000 0.000 4.989
N 2.539 0.000 0.187
N 0.000 0.000 2.668
N 2.539 0.000 4.802
N 0.000 0.000 7.310
```

Properties
Its space group is I-4m2. The volume comes out at 16.08 Å³/atom. The value obtained for the uncorrected formation energy is -1.519 eV per atom.

***

No. 11
The following is a DFT calculation (PBE) of an optimized crystal structure of Cs2SrI2Br2.

The structure in extended XYZ format:
```
7
Lattice="-2.995 2.995 9.820 2.995 -2.995 9.820 2.995 2.995 -9.820" Properties=species:S:1:pos:R:3 pbc="T T T"
Cs 0.000 0.000 2.695
Cs 0.000 0.000 16.945
Sr 0.000 0.000 9.820
I 0.000 0.000 6.543
I 0.000 0.000 13.097
Br 2.995 0.000 0.000
Br 0.000 2.995 0.000
```

Properties
Its space group is I4/mmm. The volume comes out at 50.33 Å³/atom. The value obtained for the uncorrected formation energy is -1.802 eV per atom.

***

No. 12
The following is a DFT calculation (PBE) of an optimized crystal structure of Dy2Si5Pt3.

The structure in extended XYZ format:
```
20
Lattice="5.830 -5.689 0.000 5.830 5.689 0.000 -3.118 0.000 5.179" Properties=species:S:1:pos:R:3 pbc="T T T"
Dy 1.962 1.470 1.185
Dy 0.403 -1.470 3.774
Dy 8.138 1.470 1.404
Dy 6.579 -1.470 3.993
Si 5.050 -5.687 1.295
Si 3.491 5.687 3.884
Si 1.424 1.290 4.395
Si 5.050 2.596 1.295
Si 3.491 2.598 3.884
Si 2.983 -1.290 1.806
Si 5.559 1.290 3.372
Si 5.050 -2.598 1.295
Si 3.491 -2.596 3.884
Si 7.118 -1.290 0.783
Pt 3.303 4.129 2.004
Pt 6.797 4.129 0.585
Pt 5.050 0.004 1.295
Pt 3.491 -0.004 3.884
Pt 1.744 -4.129 4.594
Pt 5.238 -4.129 3.174
```

Properties
Its space group is C2/c. The volume comes out at 17.17 Å³/atom. The value obtained for the uncorrected formation energy is -0.970 eV per atom.